Below is an optimized crystal structure of CrRh2Au, with properties calculated at the PBE level.

a b c (Å): 2.737 2.737 7.754
angles (deg): 90.00 90.00 90.01
Atoms (fractional coordinates):
1 Cr 0.500 0.500 0.769
2 Rh 0.000 0.000 0.981
3 Au 0.000 0.000 0.512
4 Rh 0.500 0.500 0.239

VASP energy in eV per atom: -6.762